(1)
An optimized crystal structure of Pr2YIn. Source: Alexandria via LeMat-Bulk, functional PBE-GGA. Values from VASP.

Structure (Quantum ESPRESSO input):
```
&SYSTEM
  ibrav = 0, nat = 4, ntyp = 3
/
ATOMIC_SPECIES
Y 88.91 Y.upf
Pr 140.91 Pr.upf
In 114.82 In.upf
ATOMIC_POSITIONS crystal
Y 0.500 0.500 0.500
Pr 0.000 0.000 0.774
Pr 0.000 0.000 0.226
In 0.500 0.500 0.000
CELL_PARAMETERS angstrom
3.668 0.000 0.000
0.000 3.668 0.000
0.000 0.000 9.628
```

polymorph energy (0 for the lowest one): 74.7 meV per atom
formation enthalpy at 0 K: -0.200 eV per atom
total moment: 0.00 μB/f.u.
DOS(E_F): 5.41 states/eV/f.u.

(2)
An optimized crystal structure of Pr5YIn3. Source: Alexandria via LeMat-Bulk, functional PBE-GGA. Values from VASP.

Structure (Quantum ESPRESSO input):
```
&SYSTEM
  ibrav = 0, nat = 18, ntyp = 3
/
ATOMIC_SPECIES
In 114.82 In.upf
Pr 140.91 Pr.upf
Y 88.91 Y.upf
ATOMIC_POSITIONS crystal
In 0.750 0.678 0.000
Pr 0.250 0.000 0.659
Pr 0.500 0.333 0.667
Pr 0.250 0.341 0.341
In 0.250 0.322 0.000
Pr 0.250 0.659 0.000
Pr 0.000 0.333 0.667
Y 0.500 0.000 0.000
Pr 0.750 0.341 0.000
Pr 0.750 0.659 0.659
Pr 0.000 0.667 0.333
In 0.250 0.000 0.322
In 0.250 0.678 0.678
Y 0.000 0.000 0.000
In 0.750 0.322 0.322
Pr 0.750 0.000 0.341
Pr 0.500 0.667 0.333
In 0.750 0.000 0.678
CELL_PARAMETERS angstrom
6.972 0.000 0.000
0.000 8.349 -4.820
0.000 0.000 9.640
```

polymorph energy (0 for the lowest one): 0.0 meV per atom
formation enthalpy at 0 K: -0.349 eV per atom
total moment: 0.40 μB/f.u.
DOS(E_F): 11.48 states/eV/f.u.

(3)
An optimized crystal structure of PrY2In2. Source: Alexandria via LeMat-Bulk, functional PBE-GGA. Values from VASP.

Structure (Quantum ESPRESSO input):
```
&SYSTEM
  ibrav = 0, nat = 20, ntyp = 3
/
ATOMIC_SPECIES
Pr 140.91 Pr.upf
Y 88.91 Y.upf
In 114.82 In.upf
ATOMIC_POSITIONS crystal
Pr 0.250 0.351 0.046
Y 0.250 0.184 0.271
Pr 0.250 0.851 0.454
In 0.750 0.141 0.954
In 0.750 0.948 0.337
In 0.250 0.552 0.837
Pr 0.750 0.649 0.954
Pr 0.750 0.149 0.546
Y 0.750 0.316 0.771
In 0.250 0.359 0.454
Y 0.750 0.964 0.144
Y 0.250 0.536 0.644
Y 0.750 0.464 0.356
Y 0.250 0.036 0.856
In 0.750 0.448 0.163
In 0.750 0.641 0.546
In 0.250 0.859 0.046
Y 0.750 0.816 0.729
In 0.250 0.052 0.663
Y 0.250 0.684 0.229
CELL_PARAMETERS angstrom
5.370 0.000 0.000
0.000 6.742 0.000
0.000 0.000 16.073
```

polymorph energy (0 for the lowest one): 0.0 meV per atom
formation enthalpy at 0 K: -0.433 eV per atom
total moment: 0.00 μB/f.u.
DOS(E_F): 3.36 states/eV/f.u.